# 1
{
  "formula": "TbSc2Cd",
  "functional": "GGA-PBE",
  "state": "relaxed",
  "cell": [[3.402, 0.000, 0.000], [0.000, 3.402, 0.000], [0.000, 0.000, 8.709]],
  "species": ["Tb", "Sc", "Sc", "Cd"],
  "frac_coords": [[0.000, 0.000, 0.000], [0.500, 0.500, 0.277], [0.500, 0.500, 0.723], [0.000, 0.000, 0.500]],
  "m_tot_mub_per_fu": 0.00,
  "dos_at_fermi_per_ev_atom": 1.2154
}

=====

# 2
{
  "formula": "TbSc2Cd4",
  "functional": "GGA-PBE",
  "state": "relaxed",
  "cell": [[-2.557, 2.557, 6.902], [2.557, -2.557, 6.902], [2.557, 2.557, -6.902]],
  "species": ["Tb", "Sc", "Sc", "Cd", "Cd", "Cd", "Cd"],
  "frac_coords": [[0.000, 0.000, 0.000], [0.253, 0.253, 0.000], [0.747, 0.747, 0.000], [0.126, 0.626, 0.500], [0.374, 0.874, 0.500], [0.626, 0.126, 0.500], [0.874, 0.374, 0.500]],
  "m_tot_mub_per_fu": 0.01,
  "dos_at_fermi_per_ev_atom": 0.7587
}

=====

# 3
{
  "formula": "Tb2ScCd2",
  "functional": "GGA-PBE",
  "state": "relaxed",
  "cell": [[-1.909, 3.554, 5.016], [1.909, -3.554, 5.016], [1.909, 3.554, -5.016]],
  "species": ["Tb", "Tb", "Sc", "Cd", "Cd"],
  "frac_coords": [[0.224, 0.224, 0.000], [0.776, 0.776, 0.000], [0.500, 0.000, 0.500], [0.200, 0.500, 0.700], [0.800, 0.500, 0.300]],
  "m_tot_mub_per_fu": 0.00,
  "dos_at_fermi_per_ev_atom": 1.0919
}

=====

# 4
{
  "formula": "Tb3Sc5Cd12",
  "functional": "GGA-PBE",
  "state": "relaxed",
  "cell": [[-8.527, 8.527, 8.527], [8.527, -8.527, 8.527], [8.527, 8.527, -8.527]],
  "species": ["Tb", "Tb", "Tb", "Tb", "Tb", "Tb", "Tb", "Tb", "Tb", "Tb", "Tb", "Tb", "Sc", "Sc", "Sc", "Sc", "Sc", "Sc", "Sc", "Sc", "Sc", "Sc", "Sc", "Sc", "Sc", "Sc", "Sc", "Sc", "Sc", "Sc", "Sc", "Sc", "Cd", "Cd", "Cd", "Cd", "Cd", "Cd", "Cd", "Cd", "Cd", "Cd", "Cd", "Cd", "Cd", "Cd", "Cd", "Cd", "Cd", "Cd", "Cd", "Cd", "Cd", "Cd", "Cd", "Cd", "Cd", "Cd", "Cd", "Cd", "Cd", "Cd", "Cd", "Cd", "Cd", "Cd", "Cd", "Cd", "Cd", "Cd", "Cd", "Cd", "Cd", "Cd", "Cd", "Cd", "Cd", "Cd", "Cd", "Cd"],
  "frac_coords": [[0.125, 0.250, 0.375], [0.125, 0.375, 0.750], [0.250, 0.375, 0.125], [0.250, 0.875, 0.625], [0.375, 0.125, 0.250], [0.375, 0.750, 0.125], [0.625, 0.250, 0.875], [0.625, 0.875, 0.750], [0.750, 0.125, 0.375], [0.750, 0.625, 0.875], [0.875, 0.625, 0.250], [0.875, 0.750, 0.625], [0.000, 0.000, 0.000], [0.000, 0.000, 0.500], [0.000, 0.500, 0.000], [0.000, 0.500, 0.500], [0.125, 0.750, 0.875], [0.125, 0.875, 0.250], [0.250, 0.125, 0.875], [0.250, 0.625, 0.375], [0.375, 0.250, 0.625], [0.375, 0.625, 0.750], [0.500, 0.000, 0.000], [0.500, 0.000, 0.500], [0.500, 0.500, 0.000], [0.500, 0.500, 0.500], [0.625, 0.375, 0.250], [0.625, 0.750, 0.375], [0.750, 0.375, 0.625], [0.750, 0.875, 0.125], [0.875, 0.125, 0.750], [0.875, 0.250, 0.125], [0.065, 0.225, 0.142], [0.065, 0.341, 0.923], [0.077, 0.642, 0.418], [0.077, 0.935, 0.659], [0.082, 0.725, 0.659], [0.082, 0.858, 0.423], [0.142, 0.065, 0.225], [0.142, 0.577, 0.918], [0.159, 0.225, 0.582], [0.159, 0.435, 0.577], [0.225, 0.142, 0.065], [0.225, 0.582, 0.159], [0.275, 0.341, 0.918], [0.275, 0.435, 0.358], [0.341, 0.918, 0.275], [0.341, 0.923, 0.065], [0.358, 0.275, 0.435], [0.358, 0.582, 0.923], [0.418, 0.077, 0.642], [0.418, 0.841, 0.775], [0.423, 0.082, 0.858], [0.423, 0.841, 0.565], [0.435, 0.358, 0.275], [0.435, 0.577, 0.159], [0.565, 0.423, 0.841], [0.565, 0.642, 0.725], [0.577, 0.159, 0.435], [0.577, 0.918, 0.142], [0.582, 0.159, 0.225], [0.582, 0.923, 0.358], [0.642, 0.418, 0.077], [0.642, 0.725, 0.565], [0.659, 0.077, 0.935], [0.659, 0.082, 0.725], [0.725, 0.565, 0.642], [0.725, 0.659, 0.082], [0.775, 0.418, 0.841], [0.775, 0.858, 0.935], [0.841, 0.565, 0.423], [0.841, 0.775, 0.418], [0.858, 0.423, 0.082], [0.858, 0.935, 0.775], [0.918, 0.142, 0.577], [0.918, 0.275, 0.341], [0.923, 0.065, 0.341], [0.923, 0.358, 0.582], [0.935, 0.659, 0.077], [0.935, 0.775, 0.858]],
  "m_tot_mub_per_fu": 0.00,
  "dos_at_fermi_per_ev_atom": 1.1139
}

=====

# 5
{
  "formula": "TbSc2Cd2",
  "functional": "GGA-PBE",
  "state": "relaxed",
  "cell": [[1.777, -13.283, 0.000], [1.777, 13.283, 0.000], [0.000, 0.000, 5.171]],
  "species": ["Tb", "Tb", "Sc", "Sc", "Sc", "Sc", "Cd", "Cd", "Cd", "Cd"],
  "frac_coords": [[0.150, 0.850, 0.750], [0.850, 0.150, 0.250], [0.047, 0.953, 0.250], [0.237, 0.763, 0.250], [0.763, 0.237, 0.750], [0.953, 0.047, 0.750], [0.359, 0.641, 0.750], [0.453, 0.547, 0.250], [0.547, 0.453, 0.750], [0.641, 0.359, 0.250]],
  "m_tot_mub_per_fu": 0.00,
  "dos_at_fermi_per_ev_atom": 1.1865
}

=====

# 6
{
  "formula": "TbSc3Cd6",
  "functional": "GGA-PBE",
  "state": "relaxed",
  "cell": [[8.820, 0.000, 0.000], [0.000, 5.024, 0.000], [-2.967, 0.000, 10.295]],
  "species": ["Tb", "Tb", "Sc", "Sc", "Sc", "Sc", "Sc", "Sc", "Cd", "Cd", "Cd", "Cd", "Cd", "Cd", "Cd", "Cd", "Cd", "Cd", "Cd", "Cd"],
  "frac_coords": [[0.058, 0.250, 0.391], [0.942, 0.750, 0.609], [0.245, 0.250, 0.002], [0.352, 0.750, 0.804], [0.466, 0.250, 0.605], [0.534, 0.750, 0.395], [0.648, 0.250, 0.196], [0.755, 0.750, 0.998], [0.059, 0.750, 0.909], [0.148, 0.750, 0.202], [0.168, 0.250, 0.703], [0.260, 0.750, 0.512], [0.361, 0.250, 0.296], [0.455, 0.750, 0.098], [0.545, 0.250, 0.902], [0.639, 0.750, 0.704], [0.740, 0.250, 0.488], [0.832, 0.750, 0.297], [0.852, 0.250, 0.798], [0.941, 0.250, 0.091]],
  "m_tot_mub_per_fu": 0.00,
  "dos_at_fermi_per_ev_atom": 0.8264
}

=====

Computed raw total energy, in the same sequence as the records: -0.3431 -0.2281 -0.2644 -0.1812 -0.2976 -0.2329 Ry/atom.